The following is a PBE-GGA calculation of a relaxed structure of CaPmAsPt, from the Alexandria database.

Output
Mass density ... 8.14 g cm⁻³
Space-group type ... No. 216
Energy of formation ... -1039 meV/atom

abc: 5.0830 5.0830 5.0830
angles: 60.00 60.00 60.00
Closest atoms and distances in Å follow each position.
Atoms (fractional coordinates):
As1 0.2500 0.2500 0.2500  4 Ca 3.11, 4 Pm 3.11
Ca1 0.5000 0.5000 0.5000  4 As 3.11, 4 Pt 3.11
Pt1 0.7500 0.7500 0.7500  4 Pm 3.11, 4 Ca 3.11
Pm1 0.0000 0.0000 0.0000  4 Pt 3.11, 4 As 3.11